Crystalline CrSb2Te at its relaxed geometry, computed with PBEsol.

Properties
**Excess energy over the best structure of this formula in the dataset**: 0.00 eV/f.u.
**Total magnetic moment**: 0.0 μB/f.u.

abc: 4.974 4.974 6.301
angles: 108.17 108.17 38.59
Sites, in units of the cell vectors:
1 Cr 0.000 0.000 0.000
2 Sb 0.279 0.279 0.990
3 Sb 0.437 0.437 0.642
4 Te 0.628 0.628 0.335

Crystalline La2Ag at its relaxed geometry, computed with PBEsol.

Properties
**Total magnetic moment**: 0.0 μB/f.u.
**DFT formation energy**: -0.0970 eV/atom

abc: 6.692 6.692 7.107
angles: 90.05 90.05 35.03
Sites, in units of the cell vectors:
1 La 0.000 0.000 0.000
2 La 0.057 0.057 0.500
3 La 0.331 0.331 0.701
4 La 0.726 0.726 0.202
5 Ag 0.410 0.410 0.277
6 Ag 0.647 0.647 0.778

Crystalline ScTlCo2 at its relaxed geometry, computed with PBEsol.

Properties
**Total magnetic moment**: 2.4 μB/f.u.
**DFT formation energy**: 0.0451 eV/atom

abc: 3.043 3.043 6.844
angles: 90.00 90.00 90.00
Sites, in units of the cell vectors:
1 Sc 0.000 0.000 0.000
2 Tl 0.500 0.500 0.343
3 Co 0.000 0.000 0.608
4 Co 0.500 0.500 0.761

Crystalline CrSbMo2 at its relaxed geometry, computed with PBEsol.

Properties
**Total magnetic moment**: 1.6 μB/f.u.
**Electronic total energy**: -9.107 eV per atom

abc: 5.100 5.100 2.884
angles: 100.32 100.32 116.15
Sites, in units of the cell vectors:
1 Cr 0.000 0.000 0.000
2 Sb 0.500 0.500 0.000
3 Mo 0.000 0.500 0.500
4 Mo 0.500 0.000 0.500

Crystalline KSn3Cl at its relaxed geometry, computed with PBEsol.

Properties
**Total magnetic moment**: 0.0 μB/f.u.
**Electronic total energy**: -3.018 eV per atom

abc: 5.458 5.458 5.458
angles: 90.00 90.00 90.00
Sites, in units of the cell vectors:
1 K 0.000 0.000 0.000
2 Sn 0.000 0.500 0.500
3 Sn 0.500 0.000 0.500
4 Sn 0.500 0.500 0.000
5 Cl 0.500 0.500 0.500

Crystalline ReMoAsBr2 at its relaxed geometry, computed with PBEsol.

Properties
**Total magnetic moment**: 6.0 μB/f.u.
**Electronic total energy**: -5.396 eV per atom

abc: 5.102 5.102 4.711
angles: 90.00 90.00 90.00
Sites, in units of the cell vectors:
1 Re 0.000 0.000 0.000
2 Mo 0.500 0.500 0.500
3 As 0.000 0.000 0.500
4 Br 0.000 0.500 0.000
5 Br 0.500 0.000 0.000